A geometry-optimized Pr2Sm7Y2 structure. Source: Alexandria via LeMat-Bulk, functional PBE.

As for the crystal system: monoclinic. Its formation energy is 14 kJ per mole of atoms. The density of states at the Fermi level is 17.956 states/eV/f.u.

The structure belongs to space group C2/m (No. 12); the cell edges are 8.596, 11.000 and 8.334 Å and the angles 90.00°, 106.07° and 90.00°. Symmetry generates all atoms from Pr at (0.000, 0.216, 0.000), Sm at (0.000, 0.500, 0.500), Sm at (0.079, 0.000, 0.319), Sm at (0.200, 0.205, 0.667) and Y at (0.191, 0.500, 0.968).